1.
! PBE-GGA Na2SnAs, optimized geometry; values from VASP
! **ΔH_f (0 K)**: -324 meV/atom
! **Space-group type**: P2_1/c
! **Uncorrected energy**: -50.34 eV for the cell shown
&SYSTEM
  ibrav = 0, nat = 16, ntyp = 3
/
ATOMIC_SPECIES
As 74.92 As.upf
Na 22.99 Na.upf
Sn 118.71 Sn.upf
CELL_PARAMETERS angstrom
6.2204 0.0000 0.0000
0.0000 7.2881 0.6781
0.0000 1.0052 9.5576
ATOMIC_POSITIONS crystal
As 0.8066 0.1419 0.6342
As 0.6934 0.6419 0.1342
As 0.3066 0.3581 0.8658
As 0.1934 0.8581 0.3658
Na 0.4104 0.1556 0.1610
Na 0.6980 0.8655 0.4497
Na 0.1980 0.6345 0.0503
Na 0.9104 0.3444 0.3390
Na 0.8020 0.3655 0.9497
Na 0.5896 0.8444 0.8390
Na 0.0896 0.6556 0.6610
Na 0.3020 0.1345 0.5503
Sn 0.3958 0.5330 0.3517
Sn 0.1042 0.0330 0.8517
Sn 0.8958 0.9670 0.1483
Sn 0.6042 0.4670 0.6483

2.
! PBE-GGA NaSn2As, optimized geometry; values from VASP
! **ΔH_f (0 K)**: -83 meV/atom
! **Space-group type**: P4/mmm
! **Uncorrected energy**: -14.31 eV for the cell shown
&SYSTEM
  ibrav = 0, nat = 4, ntyp = 3
/
ATOMIC_SPECIES
Na 22.99 Na.upf
Sn 118.71 Sn.upf
As 74.92 As.upf
CELL_PARAMETERS angstrom
-3.7732 0.0281 3.0513
-0.2111 -4.4871 -0.2197
2.8202 -0.3036 3.4902
ATOMIC_POSITIONS crystal
Na 0.5000 0.5000 0.5000
Sn 0.0000 0.5000 0.0000
Sn 0.0000 0.0000 0.5000
As 0.5000 0.0000 0.0000

3.
! PBE-GGA Na3Sn2As4, optimized geometry; values from VASP
! **ΔH_f (0 K)**: -253 meV/atom
! **Space-group type**: C2/m
! **Uncorrected energy**: -32.84 eV for the cell shown
&SYSTEM
  ibrav = 0, nat = 9, ntyp = 3
/
ATOMIC_SPECIES
As 74.92 As.upf
Sn 118.71 Sn.upf
Na 22.99 Na.upf
CELL_PARAMETERS angstrom
-4.6833 -0.8667 0.9373
-0.2481 -3.9754 -4.9155
4.3811 -3.2418 6.3233
ATOMIC_POSITIONS crystal
As 0.5072 0.3066 0.0144
As 0.2173 0.2298 0.4346
As 0.4928 0.6934 0.9856
As 0.7827 0.7702 0.5654
Sn 0.3329 0.0045 0.6658
Sn 0.6671 0.9955 0.3342
Na 0.1198 0.5632 0.2396
Na 0.8802 0.4368 0.7604
Na 0.0000 0.0000 0.0000

4.
! PBE-GGA Na5SnAs4, optimized geometry; values from VASP
! **ΔH_f (0 K)**: -301 meV/atom
! **Space-group type**: P-1
! **Uncorrected energy**: -64.41 eV for the cell shown
&SYSTEM
  ibrav = 0, nat = 20, ntyp = 3
/
ATOMIC_SPECIES
Sn 118.71 Sn.upf
Na 22.99 Na.upf
As 74.92 As.upf
CELL_PARAMETERS angstrom
6.6632 0.8175 -0.2352
0.9557 8.0531 -0.0690
-0.3642 -0.2785 10.0721
ATOMIC_POSITIONS crystal
Sn 0.2322 0.3486 0.7509
Sn 0.7678 0.6514 0.2491
Na 0.1058 0.1598 0.0542
Na 0.7359 0.3513 0.7399
Na 0.9393 0.7696 0.5682
Na 0.4222 0.7764 0.9418
Na 0.5778 0.2236 0.0582
Na 0.0607 0.2304 0.4318
Na 0.8942 0.8402 0.9458
Na 0.5905 0.1630 0.4600
Na 0.4095 0.8370 0.5400
Na 0.2641 0.6487 0.2601
As 0.6806 0.5081 0.4753
As 0.4714 0.9521 0.2318
As 0.8580 0.9683 0.2508
As 0.8116 0.5031 0.0028
As 0.1884 0.4969 0.9972
As 0.1420 0.0317 0.7492
As 0.5286 0.0479 0.7682
As 0.3194 0.4919 0.5247

Values for M_tot, μB per cell, ordered as above
0.00, 0.00, 0.00, 0.00